Entry from the Alexandria database: an optimized crystal structure of TiAsSe2I (PBE).

Geometry as CIF:
```
data_TiAsSe2I
_chemical_formula_sum 'Ti1 As1 Se2 I1'
_cell_length_a 4.834
_cell_length_b 4.834
_cell_length_c 5.458
_cell_angle_alpha 90.00
_cell_angle_beta 90.00
_cell_angle_gamma 90.00
_symmetry_space_group_name_H-M 'P 4/m m m'
_symmetry_Int_Tables_number 123
_symmetry_space_group_name_Hall '-P 4 2'
loop_
_atom_site_label
_atom_site_type_symbol
_atom_site_fract_x
_atom_site_fract_y
_atom_site_fract_z
Ti1 Ti 0.000 0.000 0.000
As1 As 0.000 0.000 0.500
Se1 Se 0.000 0.500 0.000
I1 I 0.500 0.500 0.500
```

Calculated values
* DFT total energy: -4.327 eV/atom
* energy relative to the lowest polymorph listed for this composition: 0 meV per atom
* energy relative to the elements, uncorrected: -0.114 eV per atom